First-principles (GGA-PBE) data for a relaxed structure of NdGa2SiRu2, as listed in Alexandria.

a b c (Å): 4.4364 4.4364 5.7320
angles (deg): 90.00 90.00 90.00
With the nearest neighbours (Å) after each atom.
Fractional positions:
Nd: 0.0000 0.0000 0.5000  2 Si 2.87
Ga: 0.5000 0.5000 0.7309  1 Ga 2.65, 4 Ru 2.70
Ga: 0.5000 0.5000 0.2691  1 Ga 2.65, 4 Ru 2.70
Si: 0.0000 0.0000 0.0000  4 Ru 2.22
Ru: 0.5000 0.0000 0.0000  2 Si 2.22
Ru: 0.0000 0.5000 0.0000  2 Si 2.22

Computed properties:
Space group: P4/mmm
Magnetization in μB/cell: 0.000
E_form (uncorrected) in eV/atom: -0.42